# 1
## RbTlIn2Os (GGA-PBE)

Data for a geometry-optimized RbTlIn2Os structure.

Its crystal system is tetragonal. As for the energy relative to the elements: 64 meV per atom. As for the total magnetic moment: 0.00 μB per atom.

abc: 5.2837 5.2837 5.3866
angles: 90.00 90.00 90.00
With the nearest neighbours (Å) after each atom.
Space group P4/mmm (No. 123)
One atom of each set of equivalent atoms:
Rb1 0.0000 0.0000 0.0000 [1 per cell]  4 Tl 3.74, 8 In 3.77
Tl1 0.5000 0.5000 0.0000 [1 per cell]  2 Os 2.69
In1 0.0000 0.5000 0.5000 [2 per cell]  2 Os 2.64
Os1 0.5000 0.5000 0.5000 [1 per cell]  4 In 2.64, 2 Tl 2.69



# 2
## RbZnInOs2 (GGA-PBE)

Data for a geometry-optimized RbZnInOs2 structure.

Its crystal system is tetragonal. As for the energy relative to the elements: 3177 meV per atom. As for the total magnetic moment: 0.75 μB per atom.

abc: 5.0008 5.0008 5.8873
angles: 90.00 90.00 90.00
With the nearest neighbours (Å) after each atom.
Space group P4/mmm (No. 123)
One atom of each set of equivalent atoms:
Rb1 0.0000 0.0000 0.0000 [1 per cell]  4 Os 2.50
Zn1 0.5000 0.5000 0.5000 [1 per cell]  4 In 3.54, 8 Os 3.86
In1 0.0000 0.0000 0.5000 [1 per cell]  2 Rb 2.94
Os1 0.0000 0.5000 0.0000 [2 per cell]  2 Rb 2.50



# 3
## InReOs2 (GGA-PBE)

Data for a geometry-optimized InReOs2 structure.

Its crystal system is orthorhombic. As for the energy relative to the elements: 664 meV per atom. As for the total magnetic moment: 0.00 μB per atom.

abc: 2.9990 4.6610 9.0537
angles: 90.00 90.00 90.00
With the nearest neighbours (Å) after each atom.
Space group Immm (No. 71)
One atom of each set of equivalent atoms:
In1 0.0000 0.0000 0.0000 [2 per cell]  4 Os 2.73, 4 Re 2.77, 2 In 3.00
Re1 0.0000 0.0000 0.5000 [2 per cell]  4 Os 2.70, 4 In 2.77, 2 Re 3.00
Os1 0.0000 0.5000 0.2484 [4 per cell]  2 Re 2.70, 2 In 2.73, 6 Os 2.77-3.00



# 4
## In2ReOs (GGA-PBE)

Data for a geometry-optimized In2ReOs structure.

For the offset from the most stable computed form, the calculation gives 597 meV per atom. Its crystal system is tetragonal. As for the energy relative to the elements: 791 meV per atom. As for the total magnetic moment: 0.45 μB per atom.

abc: 4.1814 4.1814 4.0305
angles: 90.00 90.00 90.00
With the nearest neighbours (Å) after each atom.
Space group P4/mmm (No. 123)
One atom of each set of equivalent atoms:
In1 0.0000 0.5000 0.0000 [2 per cell]  4 Re 2.90, 4 Os 2.90, 4 In 2.96
Re1 0.0000 0.0000 0.5000 [1 per cell]  8 In 2.90, 4 Os 2.96
Os1 0.5000 0.5000 0.5000 [1 per cell]  8 In 2.90, 4 Re 2.96



# 5
## InReOs (GGA-PBE)

Data for a geometry-optimized InReOs structure.

Its crystal system is trigonal. As for the energy relative to the elements: 375 meV per atom. As for the total magnetic moment: 0.00 μB per atom.

abc: 2.8733 2.8733 6.9568
angles: 90.00 90.00 120.00
With the nearest neighbours (Å) after each atom.
Space group P3m1 (No. 156)
One atom of each set of equivalent atoms:
In1 0.0000 0.0000 0.0000 [1 per cell]  6 In 2.87, 3 Os 2.96, 3 Re 2.99
Re1 0.3333 0.6667 0.6433 [1 per cell]  3 Os 2.62, 6 Re 2.87
Os1 0.6667 0.3333 0.3527 [1 per cell]  3 Re 2.62, 6 Os 2.87



# 6
## InReOs (GGA-PBE)

Data for a geometry-optimized InReOs structure.

Its crystal system is tetragonal. As for the energy relative to the elements: 229 meV per atom. As for the total magnetic moment: 0.00 μB per atom.

abc: 2.9089 2.9089 11.8094
angles: 90.00 90.00 90.00
With the nearest neighbours (Å) after each atom.
Space group I4mm (No. 107)
One atom of each set of equivalent atoms:
In1 0.0000 0.0000 0.0000 [2 per cell]  4 In 2.91, 4 Os 2.97, 4 Re 2.99
Re1 0.0000 0.0000 0.3158 [2 per cell]  4 Os 2.60, 4 Re 2.91
Os1 0.0000 0.0000 0.6809 [2 per cell]  4 Re 2.60, 4 Os 2.91



# 7
## In2ReOs (GGA-PBE)

Data for a geometry-optimized In2ReOs structure.

For the offset from the most stable computed form, the calculation gives 553 meV per atom. Its crystal system is tetragonal. As for the energy relative to the elements: 747 meV per atom. As for the total magnetic moment: 0.00 μB per atom.

abc: 4.6505 4.6505 3.2010
angles: 90.00 90.00 90.00
With the nearest neighbours (Å) after each atom.
Space group P4/mmm (No. 123)
One atom of each set of equivalent atoms:
In1 0.0000 0.5000 0.0000 [2 per cell]  4 Re 2.82, 4 Os 2.82
Re1 0.0000 0.0000 0.5000 [1 per cell]  8 In 2.82
Os1 0.5000 0.5000 0.5000 [1 per cell]  8 In 2.82



# 8
## InReOs2 (GGA-PBE)

Data for a geometry-optimized InReOs2 structure.

Its crystal system is cubic. As for the energy relative to the elements: 741 meV per atom. As for the total magnetic moment: 0.32 μB per atom.

abc: 6.3410 6.3410 6.3410
angles: 90.00 90.00 90.00
With the nearest neighbours (Å) after each atom.
Space group F-43m (No. 216)
One atom of each set of equivalent atoms:
In1 0.0000 0.0000 0.0000 [4 per cell]  4 Re 2.75, 4 Os 2.75
Re1 0.2500 0.2500 0.2500 [4 per cell]  4 In 2.75, 4 Os 2.75
Os1 0.0000 0.0000 0.5000 [4 per cell]  4 Re 2.75, 4 Os 2.75
Os2 0.2500 0.2500 0.7500 [4 per cell]  4 In 2.75, 4 Os 2.75



# 9
## In2ReOs (GGA-PBE)

Data for a geometry-optimized In2ReOs structure.

For the offset from the most stable computed form, the calculation gives 571 meV per atom. Its crystal system is cubic. As for the energy relative to the elements: 765 meV per atom. As for the total magnetic moment: 0.24 μB per atom.

abc: 6.5200 6.5200 6.5200
angles: 90.00 90.00 90.00
With the nearest neighbours (Å) after each atom.
Space group Fm-3m (No. 225)
One atom of each set of equivalent atoms:
In1 0.2500 0.2500 0.2500 [8 per cell]  4 Re 2.82, 4 Os 2.82
Re1 0.0000 0.0000 0.0000 [4 per cell]  8 In 2.82
Os1 0.0000 0.0000 0.5000 [4 per cell]  8 In 2.82



# 10
## InReOs (GGA-PBE)

Data for a geometry-optimized InReOs structure.

Its crystal system is orthorhombic. As for the energy relative to the elements: 665 meV per atom. As for the total magnetic moment: 0.00 μB per atom.

abc: 2.9169 4.8993 14.1446
angles: 90.00 90.00 90.00
With the nearest neighbours (Å) after each atom.
Space group Fmm2 (No. 42)
One atom of each set of equivalent atoms:
In1 0.0000 0.0000 0.0000 [4 per cell]  2 Os 2.85, 6 In 2.85-2.92, 2 Re 2.90
Re1 0.0000 0.0000 0.6774 [4 per cell]  2 Os 2.57, 4 Re 2.85
Os1 0.0000 0.0000 0.3272 [4 per cell]  2 Re 2.57, 2 In 2.85, 4 Os 2.85



# 11
## InReOs2 (GGA-PBE)

Data for a geometry-optimized InReOs2 structure.

Its crystal system is trigonal. As for the energy relative to the elements: 331 meV per atom. As for the total magnetic moment: 0.00 μB per atom.

abc: 2.8339 2.8339 27.4320
angles: 90.00 90.00 120.00
With the nearest neighbours (Å) after each atom.
Space group R-3m (No. 166, hexagonal axes)
One atom of each set of equivalent atoms:
In1 0.0000 0.0000 0.0000 [3 per cell]  6 In 2.83, 6 Os 2.94
Re1 0.0000 0.0000 0.5000 [3 per cell]  6 Os 2.69, 6 Re 2.83
Os1 0.0000 0.0000 0.2444 [6 per cell]  3 Re 2.69, 6 Os 2.83, 3 In 2.94



# 12
## InReOs (GGA-PBE)

Data for a geometry-optimized InReOs structure.

Its crystal system is orthorhombic. As for the energy relative to the elements: 486 meV per atom. As for the total magnetic moment: 0.00 μB per atom.

abc: 2.8839 3.7302 9.3219
angles: 90.00 90.00 90.00
With the nearest neighbours (Å) after each atom.
Space group Imm2 (No. 44)
One atom of each set of equivalent atoms:
In1 0.0000 0.0000 0.0000 [2 per cell]  2 In 2.88, 5 Os 2.91-2.95, 5 Re 2.92-2.93
Re1 0.0000 0.0000 0.6864 [2 per cell]  4 Os 2.65, 2 Re 2.88, 5 In 2.92-2.93
Os1 0.0000 0.0000 0.3161 [2 per cell]  4 Re 2.65, 2 Os 2.88, 5 In 2.91-2.95



> Which of these has the highest total magnetic moment?

RbZnInOs2



Copy entry 8 word for word.
## InReOs2 (GGA-PBE)

Data for a geometry-optimized InReOs2 structure.

Its crystal system is cubic. As for the energy relative to the elements: 741 meV per atom. As for the total magnetic moment: 0.32 μB per atom.

abc: 6.3410 6.3410 6.3410
angles: 90.00 90.00 90.00
With the nearest neighbours (Å) after each atom.
Space group F-43m (No. 216)
One atom of each set of equivalent atoms:
In1 0.0000 0.0000 0.0000 [4 per cell]  4 Re 2.75, 4 Os 2.75
Re1 0.2500 0.2500 0.2500 [4 per cell]  4 In 2.75, 4 Os 2.75
Os1 0.0000 0.0000 0.5000 [4 per cell]  4 Re 2.75, 4 Os 2.75
Os2 0.2500 0.2500 0.7500 [4 per cell]  4 In 2.75, 4 Os 2.75



> Which formula does entry 6 have?

InReOs



Copy entry 10 word for word.
## InReOs (GGA-PBE)

Data for a geometry-optimized InReOs structure.

Its crystal system is orthorhombic. As for the energy relative to the elements: 665 meV per atom. As for the total magnetic moment: 0.00 μB per atom.

abc: 2.9169 4.8993 14.1446
angles: 90.00 90.00 90.00
With the nearest neighbours (Å) after each atom.
Space group Fmm2 (No. 42)
One atom of each set of equivalent atoms:
In1 0.0000 0.0000 0.0000 [4 per cell]  2 Os 2.85, 6 In 2.85-2.92, 2 Re 2.90
Re1 0.0000 0.0000 0.6774 [4 per cell]  2 Os 2.57, 4 Re 2.85
Os1 0.0000 0.0000 0.3272 [4 per cell]  2 Re 2.57, 2 In 2.85, 4 Os 2.85